1.
NaSrPb PBE relaxed; mass density = 5082 kg/m³; energy of formation = -0.266 eV/atom; energy = -7.51 eV/cell
1.0
4.405 0.000 0.000
0.000 4.405 0.000
-2.203 -2.203 5.351
Pb Sr Na
1 1 1
Direct
0.276 0.276 0.553 Pb
0.943 0.943 0.886 Sr
0.631 0.631 0.261 Na

=====

2.
NaSr3Pb12 PBE relaxed; mass density = 9163 kg/m³; energy of formation = -0.284 eV/atom; energy = -55.41 eV/cell
1.0
5.011 0.000 0.000
0.000 5.011 0.000
0.000 0.000 20.008
Na Sr Pb
1 3 12
Direct
0.000 0.000 0.000 Na
0.000 0.000 0.249 Sr
0.000 0.000 0.500 Sr
0.000 0.000 0.751 Sr
0.500 0.500 0.000 Pb
0.500 0.500 0.246 Pb
0.500 0.500 0.500 Pb
0.500 0.500 0.754 Pb
0.500 0.000 0.119 Pb
0.500 0.000 0.374 Pb
0.500 0.000 0.626 Pb
0.500 0.000 0.881 Pb
0.000 0.500 0.119 Pb
0.000 0.500 0.374 Pb
0.000 0.500 0.626 Pb
0.000 0.500 0.881 Pb

=====

3.
Na2SrPb PBE relaxed; mass density = 4063 kg/m³; energy of formation = -0.167 eV/atom; energy = -8.70 eV/cell
1.0
5.700 0.000 0.000
0.000 4.944 0.000
0.000 0.000 4.944
Pb Sr Na
1 1 2
Direct
0.500 0.500 0.500 Pb
0.500 0.000 0.000 Sr
0.000 0.000 0.500 Na
0.000 0.500 0.000 Na

=====

4.
Na3SrPb2 PBE relaxed; mass density = 4915 kg/m³; energy of formation = -0.260 eV/atom; energy = -29.23 eV/cell
1.0
5.234 0.000 1.393
2.059 7.679 2.792
0.191 0.537 9.808
Na Sr Pb
6 2 4
Direct
0.717 0.111 0.455 Na
0.055 0.270 0.621 Na
0.402 0.478 0.718 Na
0.598 0.522 0.282 Na
0.945 0.730 0.379 Na
0.283 0.889 0.545 Na
0.138 0.750 0.974 Sr
0.862 0.250 0.026 Sr
0.560 0.059 0.822 Pb
0.440 0.941 0.178 Pb
0.217 0.310 0.256 Pb
0.783 0.690 0.744 Pb

=====

5.
Na3SrPb4 PBE relaxed; mass density = 6797 kg/m³; energy of formation = -0.235 eV/atom; energy = -44.70 eV/cell
1.0
5.575 0.000 0.000
0.000 7.750 0.000
0.000 0.000 11.144
Pb Na Sr
8 6 2
Direct
0.500 0.778 0.000 Pb
0.500 0.778 0.500 Pb
0.500 0.222 0.000 Pb
0.500 0.222 0.500 Pb
0.006 0.778 0.750 Pb
0.994 0.778 0.250 Pb
0.994 0.222 0.250 Pb
0.006 0.222 0.750 Pb
0.000 0.000 0.000 Na
0.000 0.000 0.500 Na
0.507 0.000 0.750 Na
0.493 0.000 0.250 Na
0.504 0.500 0.750 Na
0.496 0.500 0.250 Na
0.000 0.500 0.000 Sr
0.000 0.500 0.500 Sr

=====

6.
Na4Sr3Pb4 PBE relaxed; mass density = 5318 kg/m³; energy of formation = -0.306 eV/atom; energy = -28.52 eV/cell
1.0
-0.148 0.325 3.926
-4.330 -3.201 0.101
8.088 -15.366 3.546
Na Sr Pb
4 3 4
Direct
0.593 0.092 0.815 Na
0.258 0.258 0.484 Na
0.742 0.742 0.516 Na
0.407 0.908 0.185 Na
0.147 0.647 0.706 Sr
0.853 0.353 0.294 Sr
0.000 0.000 0.000 Sr
0.546 0.545 0.909 Pb
0.455 0.455 0.091 Pb
0.318 0.818 0.363 Pb
0.682 0.182 0.637 Pb

=====

7.
Na7SrPb5 PBE relaxed; mass density = 5084 kg/m³; energy of formation = -0.150 eV/atom; energy = -31.41 eV/cell
1.0
6.908 0.000 0.000
3.454 7.794 -0.045
3.454 -0.070 7.794
Na Sr Pb
7 1 5
Direct
0.691 0.309 0.309 Na
0.369 0.631 0.631 Na
0.980 0.361 0.679 Na
0.980 0.679 0.361 Na
0.283 0.217 0.217 Na
0.497 0.792 0.215 Na
0.497 0.215 0.792 Na
0.044 0.956 0.956 Sr
0.476 0.009 0.513 Pb
0.003 0.009 0.513 Pb
0.476 0.513 0.009 Pb
0.003 0.513 0.009 Pb
0.704 0.796 0.796 Pb

=====

8.
NaSrPb6 PBE relaxed; mass density = 9042 kg/m³; energy of formation = -0.221 eV/atom; energy = -27.02 eV/cell
1.0
-1.537 3.375 -3.357
-3.905 1.123 2.917
5.407 6.987 4.548
Na Sr Pb
1 1 6
Direct
0.000 0.000 0.500 Na
0.000 0.000 0.000 Sr
0.500 0.500 0.000 Pb
0.500 0.500 0.500 Pb
0.500 0.000 0.259 Pb
0.500 0.000 0.741 Pb
0.000 0.500 0.259 Pb
0.000 0.500 0.741 Pb

=====

9.
Na5SrPb6 PBE relaxed; mass density = 6752 kg/m³; energy of formation = -0.194 eV/atom; energy = -32.85 eV/cell
1.0
4.700 -0.023 1.566
0.043 9.960 0.014
0.072 -0.011 7.619
Pb Na Sr
6 5 1
Direct
0.831 0.743 0.338 Pb
0.831 0.257 0.338 Pb
0.500 0.252 0.000 Pb
0.500 0.748 0.000 Pb
0.169 0.743 0.662 Pb
0.169 0.257 0.662 Pb
0.666 0.500 0.668 Na
0.323 0.000 0.354 Na
0.000 0.500 0.000 Na
0.677 0.000 0.646 Na
0.334 0.500 0.332 Na
0.000 0.000 0.000 Sr

=====

10.
Na2SrPb PBE relaxed; mass density = 3834 kg/m³; energy of formation = -0.091 eV/atom; energy = -16.78 eV/cell
1.0
4.898 0.000 0.000
0.000 4.898 0.000
2.449 2.449 12.302
Pb Sr Na
2 2 4
Direct
0.000 0.000 0.000 Pb
0.750 0.250 0.500 Pb
0.500 0.500 0.000 Sr
0.250 0.750 0.500 Sr
0.672 0.125 0.250 Na
0.078 0.625 0.250 Na
0.375 0.328 0.750 Na
0.875 0.922 0.750 Na

=====

11.
NaSrPb PBE relaxed; mass density = 4824 kg/m³; energy of formation = -0.242 eV/atom; energy = -14.87 eV/cell
1.0
-0.500 5.532 -2.033
-2.544 -1.155 -2.517
-5.673 -0.458 8.753
Sr Na Pb
2 2 2
Direct
0.677 0.177 0.353 Sr
0.323 0.823 0.647 Sr
0.753 0.500 0.000 Na
0.247 0.500 0.000 Na
0.146 0.646 0.293 Pb
0.854 0.354 0.707 Pb

=====

12.
Na2Sr2Pb3 PBE relaxed; mass density = 6277 kg/m³; energy of formation = -0.318 eV/atom; energy = -19.35 eV/cell
1.0
5.014 0.000 0.665
0.000 3.631 0.000
0.910 0.000 12.367
Na Sr Pb
2 2 3
Direct
0.715 0.500 0.570 Na
0.285 0.500 0.430 Na
0.575 0.500 0.849 Sr
0.425 0.500 0.151 Sr
0.849 0.000 0.303 Pb
0.000 0.000 0.000 Pb
0.151 0.000 0.697 Pb